Below is LiDy3Er2S6 after structural relaxation, with properties calculated at the PBE level. Values from VASP.

Crystal system   monoclinic
E_form (uncorrected)   -1.953 eV per atom

```
&SYSTEM
  ibrav = 0, nat = 12, ntyp = 4
/
ATOMIC_SPECIES
Li 6.94 Li.upf
Dy 162.50 Dy.upf
Er 167.26 Er.upf
S 32.06 S.upf
CELL_PARAMETERS angstrom
3.340 -5.801 0.000
3.340 5.801 0.000
-2.243 0.000 6.333
ATOMIC_POSITIONS crystal
Li 0.000 0.000 0.000
Dy 0.165 0.835 0.500
Dy 0.500 0.500 0.500
Dy 0.835 0.165 0.500
Er 0.334 0.666 0.000
Er 0.666 0.334 0.000
S 0.081 0.408 0.243
S 0.245 0.245 0.760
S 0.408 0.081 0.243
S 0.592 0.919 0.757
S 0.755 0.755 0.240
S 0.919 0.592 0.757
```

Below is LiDy2ErS5 after structural relaxation, with properties calculated at the PBE level. Values from VASP.

Crystal system   orthorhombic
E_form (uncorrected)   -1.881 eV per atom

```
&SYSTEM
  ibrav = 0, nat = 18, ntyp = 4
/
ATOMIC_SPECIES
Li 6.94 Li.upf
Dy 162.50 Dy.upf
Er 167.26 Er.upf
S 32.06 S.upf
CELL_PARAMETERS angstrom
1.939 -8.067 0.000
1.939 8.067 0.000
0.000 0.000 11.749
ATOMIC_POSITIONS crystal
Li 0.014 0.986 0.500
Li 0.986 0.014 0.000
Dy 0.376 0.624 0.312
Dy 0.393 0.607 0.703
Dy 0.607 0.393 0.203
Dy 0.624 0.376 0.812
Er 0.303 0.697 0.020
Er 0.697 0.303 0.520
S 0.000 0.000 0.303
S 0.000 0.000 0.803
S 0.137 0.863 0.020
S 0.192 0.808 0.361
S 0.214 0.786 0.682
S 0.454 0.546 0.093
S 0.546 0.454 0.593
S 0.786 0.214 0.182
S 0.808 0.192 0.861
S 0.863 0.137 0.520
```

Below is LiDyErSb after structural relaxation, with properties calculated at the PBE level. Values from VASP.

Crystal system   cubic
E_form (uncorrected)   -0.416 eV per atom

```
&SYSTEM
  ibrav = 0, nat = 4, ntyp = 4
/
ATOMIC_SPECIES
Li 6.94 Li.upf
Dy 162.50 Dy.upf
Er 167.26 Er.upf
Sb 121.76 Sb.upf
CELL_PARAMETERS angstrom
0.000 3.661 3.661
3.661 0.000 3.661
3.661 3.661 0.000
ATOMIC_POSITIONS crystal
Li 0.000 0.000 0.000
Dy 0.250 0.250 0.250
Er 0.750 0.750 0.750
Sb 0.500 0.500 0.500
```

Below is LiDyErSc after structural relaxation, with properties calculated at the PBE level. Values from VASP.

Crystal system   cubic
E_form   0.157 eV per atom

```
&SYSTEM
  ibrav = 0, nat = 4, ntyp = 4
/
ATOMIC_SPECIES
Li 6.94 Li.upf
Dy 162.50 Dy.upf
Er 167.26 Er.upf
Sc 44.96 Sc.upf
CELL_PARAMETERS angstrom
0.000 3.755 3.755
3.755 0.000 3.755
3.755 3.755 0.000
ATOMIC_POSITIONS crystal
Li 0.000 0.000 0.000
Dy 0.750 0.750 0.750
Er 0.250 0.250 0.250
Sc 0.500 0.500 0.500
```